1.
This record from Alexandria describes crystalline ScMn2Nb at its relaxed geometry. The functional is PBE.

```
4
Lattice="-2.384 -1.960 0.202 2.812 -3.364 0.540 -0.122 0.600 4.375" Properties=species:S:1:pos:R:3 pbc="T T T"
Sc -1.192 -0.980 0.101
Mn -0.061 0.300 2.187
Mn 1.406 -1.682 0.270
Nb 0.153 -2.362 2.559
```

## Properties
Formation energy   0.027 eV per atom
Spin magnetization   0.40 μB per atom
E   -8.658 eV per atom
Crystal system   tetragonal


2.
This record from Alexandria describes crystalline ScMnNb2V at its relaxed geometry. The functional is PBE.

```
5
Lattice="4.734 0.000 0.000 0.000 4.242 0.000 0.000 0.000 4.734" Properties=species:S:1:pos:R:3 pbc="T T T"
V 0.000 2.121 0.000
Nb 2.367 0.000 0.000
Nb 0.000 0.000 2.367
Sc 2.367 2.121 2.367
Mn 0.000 0.000 0.000
```

## Properties
Formation energy   0.526 eV per atom
Spin magnetization   0.00 μB per atom
E   -8.426 eV per atom
Crystal system   tetragonal


3.
This record from Alexandria describes crystalline MnNb4Se8 at its relaxed geometry. The functional is PBE.

```
26
Lattice="-1.710 -5.264 4.304 0.685 -1.177 -6.878 12.598 -2.690 1.715" Properties=species:S:1:pos:R:3 pbc="T T T"
Se 1.490 -1.619 -1.389
Se 6.879 -6.827 0.094
Se 5.032 -2.883 -4.339
Se 11.025 -4.917 -1.634
Se 9.746 -6.932 3.917
Se 4.190 -5.475 -2.220
Se 7.646 -4.196 -2.094
Se 1.827 -2.199 -4.775
Se 6.542 -6.248 3.480
Se 10.083 -7.511 0.530
Se 4.694 -2.303 -0.952
Se 0.549 -4.213 0.776
Se 10.588 -4.340 1.797
Se 0.985 -4.791 -2.656
Se 7.384 -3.656 1.361
Se 3.927 -4.935 1.236
Mn 6.299 -1.345 0.858
Mn 0.000 0.000 0.000
Nb 1.805 -6.426 1.279
Nb 9.768 -2.705 -2.138
Nb 9.282 -5.762 -3.359
Nb 2.292 -3.369 2.501
Nb 9.449 -2.017 1.286
Nb 3.150 -0.672 0.429
Nb 2.617 -3.927 -0.763
Nb 8.957 -5.203 -0.095
```

## Properties
Relative energy among the computed polymorphs   0.00 eV per formula unit
Spin magnetization   0.32 μB per atom
ΔE_f (raw)   -863 meV/atom
E   -6.811 eV per atom
Crystal system   hexagonal